Here is an optimized crystal structure of CeNiS2O8 from the Alexandria database. Energies are from PBE+U.

Unit cell a=5.178 b=5.178 c=7.084 alpha=90.00 beta=90.00 gamma=120.00
Last column: magnetic moment on the atom in μB.
Atoms (fractional coordinates):
Ni1 0.000 0.000 0.000  -1.35
Ce1 0.000 0.000 0.500  1.32
O1 0.649 0.824 0.792  -0.01
O2 0.824 0.176 0.208  -0.01
O3 0.667 0.333 0.485  -0.01
O4 0.333 0.667 0.515  -0.01
O5 0.176 0.824 0.792  -0.01
O6 0.351 0.176 0.208  -0.01
O7 0.824 0.649 0.208  -0.01
O8 0.176 0.351 0.792  -0.01
S1 0.333 0.667 0.727  0.00
S2 0.667 0.333 0.273  0.00

Output
The volume is 13.71 Å³ per atom. The total DFT energy (no corrections) is -75.8 eV per cell. As for the crystal system: trigonal. The calculation puts the total magnetic moment at 0.000 Bohr magnetons per cell.